Entry 1:
PmUCo2 | the Alexandria database | PBE-GGA | relaxed; polymorph energy (0 for the lowest one) = 0.31 eV/f.u.; spin magnetization = 0.4 μB per formula unit; energy relative to the elements = -0.284 eV per formula unit; DOS at the Fermi energy = 1.448 states/eV per atom
1.0
-1.985 2.118 -1.539
-0.906 -2.368 -2.090
-5.187 -1.769 4.254
U Co Pm
1 2 1
Cartesian
-1.445 -0.125 -1.815 U
-4.217 -1.438 3.458 Co
-0.971 -0.331 0.796 Co
-4.039 -1.009 0.312 Pm

=====

Entry 2:
Pr2Y3Er5 | the Alexandria database | PBE-GGA | relaxed; spin magnetization = 0.0 μB per formula unit; energy relative to the elements = 1.956 eV per formula unit; DOS at the Fermi energy = 1.756 states/eV per atom
1.0
-5.015 1.786 -7.772
-7.537 -5.684 -0.690
1.911 7.247 8.264
Er Y Pr
10 6 4
Cartesian
-5.253 -2.116 -2.075 Er
-3.145 -0.193 0.726 Er
-5.767 3.773 -3.976 Er
-5.388 5.464 1.877 Er
-9.052 -1.986 -3.312 Er
-1.588 5.334 3.114 Er
-4.874 -0.425 3.778 Er
-3.647 3.352 0.269 Er
-6.993 -0.003 -0.467 Er
-7.496 3.541 -0.923 Er
-3.928 2.913 3.765 Y
-5.484 -2.616 1.375 Y
-6.712 0.436 -3.962 Y
-6.709 1.802 5.474 Y
-5.157 5.964 -1.572 Y
-3.932 1.546 -5.672 Y
-6.401 2.071 2.006 Pr
-4.239 1.278 -2.203 Pr
-2.579 6.679 0.090 Pr
-8.062 -3.330 -0.287 Pr

=====

Entry 3:
Ac2FeNi9 | the Alexandria database | PBE-GGA | relaxed; spin magnetization = 6.1 μB per formula unit; energy relative to the elements = 0.514 eV per formula unit; DOS at the Fermi energy = 0.738 states/eV per atom
1.0
4.992 0.000 0.000
2.496 4.323 0.000
2.496 1.441 8.429
Ni Ac Fe
9 2 1
Cartesian
6.235 3.600 6.509 Ni
4.992 4.318 1.920 Ni
3.748 3.600 6.509 Ni
4.992 1.446 6.509 Ni
4.992 2.882 4.214 Ni
6.235 2.164 1.920 Ni
3.748 2.164 1.920 Ni
7.487 4.323 8.415 Ni
2.496 1.441 0.014 Ni
2.496 1.441 5.108 Ac
7.487 4.323 3.320 Ac
0.000 0.000 0.000 Fe

=====

Entry 4:
AcSmDy | the Alexandria database | PBE-GGA | relaxed; polymorph energy (0 for the lowest one) = 0.23 eV/f.u.; spin magnetization = 0.0 μB per formula unit; energy relative to the elements = 0.381 eV per formula unit; DOS at the Fermi energy = 1.545 states/eV per atom
1.0
3.610 0.000 0.000
0.000 5.906 0.000
0.000 -2.953 5.115
Ac Sm Dy
1 1 1
Cartesian
0.603 0.000 0.000 Ac
2.406 2.953 1.705 Sm
0.601 0.000 3.410 Dy

=====

Entry 5:
Pm2IBr3 | the Alexandria database | PBE-GGA | relaxed; spin magnetization = 0.0 μB per formula unit; E_form (uncorrected) = -1.56 eV per atom; DOS at the Fermi energy = 0.512 states/eV per atom
1.0
0.180 2.084 -3.466
-9.192 3.570 -0.695
5.384 10.090 3.981
I Pm Br
2 4 6
Cartesian
-0.513 9.393 0.892 I
-3.115 6.351 -1.072 I
1.352 11.768 0.052 Pm
2.263 7.924 0.153 Pm
-5.892 7.820 -0.333 Pm
-4.980 3.976 -0.232 Pm
-0.822 13.600 1.041 Br
-4.349 10.198 -1.188 Br
0.720 5.546 1.007 Br
3.604 8.289 2.806 Br
-2.806 2.144 -1.221 Br
-7.233 7.455 -2.986 Br

=====

Entry 6:
PmSmCdAg | the Alexandria database | PBE-GGA | relaxed; polymorph energy (0 for the lowest one) = 0.00 eV/f.u.; spin magnetization = 0.2 μB per formula unit; energy relative to the elements = -1.174 eV per formula unit; DOS at the Fermi energy = 1.013 states/eV per atom
1.0
-3.522 1.339 -0.040
-1.221 -3.162 1.646
1.105 3.109 6.794
Ag Pm Sm Cd
1 1 1 1
Cartesian
0.398 1.120 2.447 Ag
-2.245 -0.557 1.577 Pm
-1.709 0.951 4.874 Sm
0.945 2.657 5.807 Cd

=====

What did the first record say?
PmUCo2 | the Alexandria database | PBE-GGA | relaxed; polymorph energy (0 for the lowest one) = 0.31 eV/f.u.; spin magnetization = 0.4 μB per formula unit; energy relative to the elements = -0.284 eV per formula unit; DOS at the Fermi energy = 1.448 states/eV per atom
1.0
-1.985 2.118 -1.539
-0.906 -2.368 -2.090
-5.187 -1.769 4.254
U Co Pm
1 2 1
Cartesian
-1.445 -0.125 -1.815 U
-4.217 -1.438 3.458 Co
-0.971 -0.331 0.796 Co
-4.039 -1.009 0.312 Pm